1.
## SrCdBiTe2 (SCAN)

Data for SrCdBiTe2 at its PBEsol-relaxed geometry.

```
SrCdBiTe2
1.0
5.9483 0.0000 0.0000
0.0000 5.9483 0.0000
0.0000 0.0000 6.1197
Sr Cd Bi Te
1 1 1 2
Direct
0.0000 0.0000 0.0000 Sr
0.5000 0.5000 0.5000 Cd
0.0000 0.0000 0.5000 Bi
0.0000 0.5000 0.0000 Te
0.5000 0.0000 0.0000 Te
```

Output
The total energy is -40.747 eV/atom. For the uncorrected formation energy, the calculation gives 0.41 eV/atom.

---

2.
## TaCdBi2 (SCAN)

Data for TaCdBi2 at its PBEsol-relaxed geometry.

```
TaCdBi2
1.0
-3.3110 3.3110 6.3639
3.3110 -3.3110 6.3639
3.3110 3.3110 -6.3639
Ta Cd Bi
2 2 4
Direct
0.0000 0.0000 0.0000 Ta
0.7500 0.2500 0.5000 Ta
0.2500 0.7500 0.5000 Cd
0.5000 0.5000 0.0000 Cd
0.1025 0.6250 0.9775 Bi
0.3750 0.3525 0.4775 Bi
0.6475 0.1250 0.0225 Bi
0.8750 0.8975 0.5225 Bi
```

Output
The total energy is -62.800 eV/atom. The value obtained for the formation energy is 739.3 meV/atom.

---

3.
## CdBi3Te (SCAN)

Data for CdBi3Te at its PBEsol-relaxed geometry.

```
CdBi3Te
1.0
5.7932 0.0000 0.0000
0.0000 5.7932 0.0000
0.0000 0.0000 5.7932
Cd Bi Te
1 3 1
Direct
0.0000 0.0000 0.0000 Cd
0.0000 0.5000 0.5000 Bi
0.5000 0.0000 0.5000 Bi
0.5000 0.5000 0.0000 Bi
0.5000 0.5000 0.5000 Te
```

Output
The total energy is -59.849 eV/atom. For the uncorrected formation energy, the calculation gives 0.83 eV/atom.

---

4.
## Cd2BiTe2 (SCAN)

Data for Cd2BiTe2 at its PBEsol-relaxed geometry.

```
Cd2BiTe2
1.0
-2.1122 2.1122 8.0156
2.1122 -2.1122 8.0156
2.1122 2.1122 -8.0156
Cd Bi Te
2 1 2
Direct
0.0893 0.0893 0.0000 Cd
0.9107 0.9107 0.0000 Cd
0.5000 0.5000 0.0000 Bi
0.2500 0.7500 0.5000 Te
0.7500 0.2500 0.5000 Te
```

Output
The total energy is -42.597 eV/atom. For the uncorrected formation energy, the calculation gives 0.19 eV/atom.